VASP calculation (PBE+U) on a relaxed structure of CrBrNF2.

Output
Density of states at the Fermi level   1.2 states/eV/cell
Polymorph energy (0 for the lowest one)   0.00 eV/f.u.

abc: 3.845 3.845 4.453
angles: 90.00 90.00 90.00
Sites, in units of the cell vectors:
Cr (0.000, 0.000, 0.000)
Br (0.500, 0.500, 0.500)
N (0.000, 0.000, 0.500)
F (0.000, 0.500, 0.000)
F (0.500, 0.000, 0.000)